Computed, not measured: crystalline Pr6ZnOs2Cl3 at its relaxed geometry at the PBE-GGA level of DFT.

Computed properties:
- DOS(E_F) (states/eV/f.u.) = 5.95
- space-group type = C2/m (12)
- ΔE_f (raw) (eV/atom) = -0.818
- final energy (eV/atom) = -5.647

Lattice parameters (Å, degrees): 7.2302 7.2302 8.0154 98.54 98.54 120.17
With the nearest neighbours (Å) after each atom.
Fractional coordinates of all 12 atoms:
Pr (0.9314, 0.5740, 0.7900)  2 Os 2.83, 1 Zn 3.04, 1 Cl 3.12
Pr (0.2870, 0.2870, 0.7881)  2 Os 2.83, 1 Zn 3.04, 1 Cl 3.13
Pr (0.7130, 0.7130, 0.2119)  2 Os 2.83, 1 Zn 3.04, 1 Cl 3.13
Cl (0.1720, 0.8280, 0.5000)  6 Pr 3.12-3.38
Os (0.3343, 0.6657, 0.0000)  6 Pr 2.83
Pr (0.0686, 0.4260, 0.2100)  2 Os 2.83, 1 Zn 3.04, 1 Cl 3.12
Zn (0.0000, 0.0000, 0.0000)  6 Pr 3.04
Pr (0.4260, 0.0686, 0.2100)  2 Os 2.83, 1 Zn 3.04, 1 Cl 3.12
Cl (0.8280, 0.1720, 0.5000)  6 Pr 3.12-3.38
Pr (0.5740, 0.9314, 0.7900)  2 Os 2.83, 1 Zn 3.04, 1 Cl 3.12
Cl (0.5000, 0.5000, 0.5000)  6 Pr 3.13-3.35
Os (0.6657, 0.3343, 0.0000)  6 Pr 2.83

***

Computed, not measured: crystalline GaReIO2 at its relaxed geometry at the PBE-GGA level of DFT.

Computed properties:
- DOS(E_F) (states/eV/f.u.) = 1.36
- E above lowest polymorph (eV/f.u.) = 0.00
- space-group type = P4/mmm (123)
- ΔE_f (raw) (eV/atom) = -0.446
- final energy (eV/atom) = -5.835

Lattice parameters (Å, degrees): 3.9393 3.9393 6.1658 90.00 90.00 90.00
With the nearest neighbours (Å) after each atom.
Fractional coordinates of all 5 atoms:
O (0.5000, 0.0000, 0.0000)  2 Re 1.97
I (0.0000, 0.0000, 0.5000)  4 Ga 2.79, 2 Re 3.08
Re (0.0000, 0.0000, 0.0000)  4 O 1.97
Ga (0.5000, 0.5000, 0.5000)  4 I 2.79
O (0.0000, 0.5000, 0.0000)  2 Re 1.97

***

Computed, not measured: crystalline Pm2GaSn at its relaxed geometry at the PBE-GGA level of DFT.

Computed properties:
- DOS(E_F) (states/eV/f.u.) = 2.55
- space-group type = Fm-3m (225)
- DFT formation energy (eV/atom) = -0.567
- final energy (eV/atom) = -4.700

Lattice parameters (Å, degrees): 5.3441 5.3441 5.3441 60.00 60.00 60.00
With the nearest neighbours (Å) after each atom.
Fractional coordinates of all 4 atoms:
Ga (0.7500, 0.7500, 0.7500)  8 Pm 3.27
Sn (0.2500, 0.2500, 0.2500)  8 Pm 3.27
Pm (0.5000, 0.5000, 0.5000)  4 Sn 3.27, 4 Ga 3.27
Pm (0.0000, 0.0000, 0.0000)  4 Sn 3.27, 4 Ga 3.27

***

Computed, not measured: crystalline CdCu2Mo at its relaxed geometry at the PBE-GGA level of DFT.

Computed properties:
- DOS(E_F) (states/eV/f.u.) = 3.05
- space-group type = P2/m (10)
- DFT formation energy (eV/atom) = 0.297
- final energy (eV/atom) = -4.688

Lattice parameters (Å, degrees): 3.8119 2.7052 6.5094 64.85 90.00 90.00
With the nearest neighbours (Å) after each atom.
Fractional coordinates of all 4 atoms:
Cu (0.0000, 0.9777, 0.0255)  3 Cu 2.65-2.71, 4 Mo 2.68-2.69, 4 Cd 2.83-2.86
Cu (0.0000, 0.5223, 0.4745)  3 Cu 2.65-2.71, 4 Mo 2.68-2.69, 4 Cd 2.83-2.86
Mo (0.5000, 0.2500, 0.2500)  8 Cu 2.68-2.69, 2 Mo 2.71, 2 Cd 2.95
Cd (0.5000, 0.7500, 0.7500)  2 Cd 2.71, 8 Cu 2.83-2.86, 2 Mo 2.95

***

Computed, not measured: crystalline USi2Ni at its relaxed geometry at the PBE-GGA level of DFT.

Computed properties:
- DOS(E_F) (states/eV/f.u.) = 5.91
- space-group type = Pnma (62)
- ΔE_f (raw) (eV/atom) = -0.510
- final energy (eV/atom) = -7.488

Lattice parameters (Å, degrees): 3.9562 6.6112 9.8703 90.00 90.00 90.00
With the nearest neighbours (Å) after each atom.
Fractional coordinates of all 16 atoms:
Ni (0.7500, 0.4954, 0.1173)  5 Si 2.25-2.37
Si (0.7500, 0.1575, 0.1819)  2 Ni 2.25-2.32, 2 Si 2.44
Ni (0.2500, 0.0046, 0.6173)  5 Si 2.25-2.37
Si (0.2500, 0.8081, 0.4227)  3 Ni 2.32-2.37, 2 Si 2.44
U (0.7500, 0.6507, 0.6228)  9 Si 2.90-3.07, 2 Ni 3.06
Ni (0.2500, 0.5046, 0.8827)  5 Si 2.25-2.37
U (0.7500, 0.1507, 0.8772)  9 Si 2.90-3.07, 2 Ni 3.06
Ni (0.7500, 0.9954, 0.3827)  5 Si 2.25-2.37
U (0.2500, 0.8493, 0.1228)  9 Si 2.90-3.07, 2 Ni 3.06
Si (0.7500, 0.6575, 0.3181)  2 Ni 2.25-2.32, 2 Si 2.44
Si (0.2500, 0.8425, 0.8181)  2 Ni 2.25-2.32, 2 Si 2.44
Si (0.2500, 0.3081, 0.0773)  3 Ni 2.32-2.37, 2 Si 2.44
Si (0.7500, 0.1919, 0.5773)  3 Ni 2.32-2.37, 2 Si 2.44
Si (0.2500, 0.3425, 0.6819)  2 Ni 2.25-2.32, 2 Si 2.44
U (0.2500, 0.3493, 0.3772)  9 Si 2.90-3.07, 2 Ni 3.06
Si (0.7500, 0.6919, 0.9227)  3 Ni 2.32-2.37, 2 Si 2.44

***

Computed, not measured: crystalline PaFeSnPt at its relaxed geometry at the PBE-GGA level of DFT.

Computed properties:
- DOS(E_F) (states/eV/f.u.) = 4.48
- space-group type = F-43m (216)
- DFT formation energy (eV/atom) = -0.359
- final energy (eV/atom) = -7.359

Lattice parameters (Å, degrees): 4.7873 4.7873 4.7873 60.00 60.00 60.00
With the nearest neighbours (Å) after each atom.
Fractional coordinates of all 4 atoms:
Pa (0.5000, 0.5000, 0.5000)  4 Pt 2.93, 4 Fe 2.93
Sn (0.0000, 0.0000, 0.0000)  4 Fe 2.93, 4 Pt 2.93
Fe (0.2500, 0.2500, 0.2500)  4 Pa 2.93, 4 Sn 2.93
Pt (0.7500, 0.7500, 0.7500)  4 Sn 2.93, 4 Pa 2.93

***

Computed, not measured: crystalline NiIr at its relaxed geometry at the PBE-GGA level of DFT.

Computed properties:
- DOS(E_F) (states/eV/f.u.) = 3.66
- space-group type = P6_3/mmc (194)
- DFT formation energy (eV/atom) = 0.282
- final energy (eV/atom) = -7.039

Lattice parameters (Å, degrees): 4.0080 4.0080 7.7583 90.00 90.00 120.00
With the nearest neighbours (Å) after each atom.
Fractional coordinates of all 8 atoms:
Ni (0.0000, 0.0000, 0.7500)  3 Ni 2.31
Ir (0.3333, 0.6667, 0.0829)  7 Ni 2.58-2.65, 4 Ir 2.59-2.65
Ni (0.6667, 0.3333, 0.2500)  3 Ni 2.31, 2 Ir 2.58
Ir (0.6667, 0.3333, 0.9171)  7 Ni 2.58-2.65, 4 Ir 2.59-2.65
Ir (0.6667, 0.3333, 0.5829)  7 Ni 2.58-2.65, 4 Ir 2.59-2.65
Ni (0.0000, 0.0000, 0.2500)  3 Ni 2.31
Ir (0.3333, 0.6667, 0.4171)  7 Ni 2.58-2.65, 4 Ir 2.59-2.65
Ni (0.3333, 0.6667, 0.7500)  3 Ni 2.31, 2 Ir 2.58

***

Computed, not measured: crystalline RbZrTl at its relaxed geometry at the PBE-GGA level of DFT.

Computed properties:
- DOS(E_F) (states/eV/f.u.) = 2.36
- E above lowest polymorph (eV/f.u.) = 1.28
- space-group type = P4/nmm (129)
- DFT formation energy (eV/atom) = 0.491
- final energy (eV/atom) = -3.469

Lattice parameters (Å, degrees): 5.6369 5.6369 8.0891 90.00 90.00 90.00
With the nearest neighbours (Å) after each atom.
Fractional coordinates of all 6 atoms:
Rb (0.5000, 0.0000, 0.1352)  1 Zr 3.66, 4 Tl 4.08
Tl (0.0000, 0.0000, 0.5000)  4 Zr 2.91
Zr (0.5000, 0.0000, 0.5872)  4 Tl 2.91
Tl (0.5000, 0.5000, 0.5000)  4 Zr 2.91
Zr (0.0000, 0.5000, 0.4128)  4 Tl 2.91
Rb (0.0000, 0.5000, 0.8648)  1 Zr 3.66, 4 Tl 4.08

***

Computed, not measured: crystalline RbLiAgF4 at its relaxed geometry at the PBE-GGA level of DFT.

Computed properties:
- DOS(E_F) (states/eV/f.u.) = 4.60
- space-group type = Cmcm (63)
- ΔE_f (raw) (eV/atom) = -1.968
- final energy (eV/atom) = -3.856

Lattice parameters (Å, degrees): 5.2391 5.7589 7.4802 90.00 110.50 90.00
With the nearest neighbours (Å) after each atom.
Fractional coordinates of all 14 atoms:
Ag (0.6372, 0.7500, 0.2744)  1 F 2.10
Rb (0.9062, 0.7500, 0.8124)  9 F 2.72-2.93
Li (0.2336, 0.7500, 0.4672)  5 F 1.87-1.96
F (0.0000, 0.0000, 0.5000)  2 Li 1.96
F (0.5126, 0.2500, 0.0252)  1 Ag 2.10
F (0.4874, 0.7500, 0.9748)  1 Ag 2.10
Ag (0.3628, 0.2500, 0.7256)  1 F 2.10
Li (0.7664, 0.2500, 0.5328)  5 F 1.87-1.96
F (0.1002, 0.7500, 0.2005)  1 Li 1.87
F (0.5000, 0.5000, 0.5000)  2 Li 1.96
F (0.8998, 0.2500, 0.7995)  1 Li 1.87
F (0.0000, 0.5000, 0.5000)  2 Li 1.96
F (0.5000, 0.0000, 0.5000)  2 Li 1.96
Rb (0.0938, 0.2500, 0.1876)  9 F 2.72-2.93

***

Computed, not measured: crystalline Li3Mo at its relaxed geometry at the PBE-GGA level of DFT.

Computed properties:
- DOS(E_F) (states/eV/f.u.) = 2.87
- E above lowest polymorph (eV/f.u.) = 0.66
- space-group type = P2/m (10)
- DFT formation energy (eV/atom) = 0.396
- final energy (eV/atom) = -3.747

Lattice parameters (Å, degrees): 4.7682 2.4518 5.4520 87.60 90.00 90.00
With the nearest neighbours (Å) after each atom.
Fractional coordinates of all 4 atoms:
Li (0.0000, 0.6957, 0.4811)  3 Li 2.45-2.52
Li (0.5000, 0.7500, 0.7500)  2 Li 2.45
Mo (0.5000, 0.2500, 0.2500)  2 Mo 2.45
Li (0.0000, 0.8043, 0.0189)  3 Li 2.45-2.52